Compound: Pr2UInN5
Source: Alexandria via LeMat-Bulk
Functional: PBE
Structure: optimized geometry

Unit cell a=3.547 b=14.335 c=10.799 alpha=90.00 beta=90.00 gamma=90.00
Space group Cmc2_1 (No. 36)
Symmetry-distinct sites (fractional):
Pr: 0.000 0.104 0.000 x4
Pr: 0.000 0.129 0.605 x4
U: 0.000 0.217 0.322 x4
In: 0.000 0.475 0.778 x4
N: 0.000 0.069 0.372 x4
N: 0.000 0.276 0.948 x4
N: 0.000 0.297 0.697 x4
N: 0.000 0.364 0.312 x4
N: 0.000 0.496 0.083 x4

Properties
* formation energy (no corrections): -0.97 eV/atom
* M_tot: 0.00 μB/atom